1.
First-principles (GGA-PBEsol) data for crystalline NbCoSn3 at its relaxed geometry, as listed in Alexandria via LeMat-Bulk. Values from VASP.

Results
formation enthalpy at 0 K: 1.1163 eV/atom
final energy: -5.151 eV per atom
magnetization: 3.354 Bohr magnetons per cell

Structure (Quantum ESPRESSO input):
```
&SYSTEM
  ibrav = 0, nat = 5, ntyp = 3
/
ATOMIC_SPECIES
Nb 92.91 Nb.upf
Co 58.93 Co.upf
Sn 118.71 Sn.upf
ATOMIC_POSITIONS crystal
Nb 0.0000 0.0000 0.0000
Co 0.5000 0.5000 0.5000
Sn 0.0000 0.5000 0.0000
Sn 0.0000 0.0000 0.5000
Sn 0.5000 0.0000 0.0000
CELL_PARAMETERS angstrom
5.2690 0.0000 0.0000
0.0000 5.2690 0.0000
0.0000 0.0000 5.2690
```

2.
First-principles (GGA-PBEsol) data for crystalline Sr4LiZr at its relaxed geometry, as listed in Alexandria via LeMat-Bulk. Values from VASP.

Results
formation enthalpy at 0 K: 0.7743 eV/atom
final energy: -2.295 eV per atom
magnetization: 3.431 Bohr magnetons per cell

Structure (Quantum ESPRESSO input):
```
&SYSTEM
  ibrav = 0, nat = 6, ntyp = 3
/
ATOMIC_SPECIES
Li 6.94 Li.upf
Sr 87.62 Sr.upf
Zr 91.22 Zr.upf
ATOMIC_POSITIONS crystal
Li 0.0000 0.0000 0.0000
Sr 0.3761 0.3761 0.3761
Sr 0.3761 0.3761 0.8717
Sr 0.8717 0.3761 0.3761
Sr 0.3761 0.8717 0.3761
Zr 0.7500 0.7500 0.7500
CELL_PARAMETERS angstrom
-5.7278 -1.3875 -4.0015
-4.6021 -5.0562 2.0000
-6.4884 1.8056 2.3207
```

3.
First-principles (GGA-PBEsol) data for crystalline Ta2WBr at its relaxed geometry, as listed in Alexandria via LeMat-Bulk. Values from VASP.

Results
raw formation energy: 521 meV per atom
final energy: -9.673 eV per atom
magnetization: 0.000 Bohr magnetons per cell
distance to the lowest polymorph of the same formula: 0.0 meV per atom

Structure (Quantum ESPRESSO input):
```
&SYSTEM
  ibrav = 0, nat = 4, ntyp = 3
/
ATOMIC_SPECIES
Br 79.90 Br.upf
W 183.84 W.upf
Ta 180.95 Ta.upf
ATOMIC_POSITIONS crystal
Br 0.5000 0.5000 0.7637
W 0.0000 0.0000 0.4478
Ta 0.0000 0.0000 0.0320
Ta 0.5000 0.5000 0.2565
CELL_PARAMETERS angstrom
-0.8156 -2.8004 1.3496
2.7427 -1.3050 -1.0503
3.2924 1.9918 6.1226
```

4.
First-principles (GGA-PBEsol) data for crystalline TlTcAs4 at its relaxed geometry, as listed in Alexandria via LeMat-Bulk. Values from VASP.

Results
formation enthalpy at 0 K: 0.7717 eV/atom
final energy: -4.949 eV per atom
magnetization: 2.171 Bohr magnetons per cell

Structure (Quantum ESPRESSO input):
```
&SYSTEM
  ibrav = 0, nat = 6, ntyp = 3
/
ATOMIC_SPECIES
As 74.92 As.upf
Tl 204.38 Tl.upf
Tc 98.00 Tc.upf
ATOMIC_POSITIONS crystal
As 0.3755 0.3755 0.3755
As 0.3755 0.3755 0.8735
As 0.8735 0.3755 0.3755
As 0.3755 0.8735 0.3755
Tl 0.0000 0.0000 0.0000
Tc 0.7500 0.7500 0.7500
CELL_PARAMETERS angstrom
-2.7529 -2.5605 -4.0044
-3.5210 -4.0318 1.2316
-5.4038 0.8046 -0.5666
```

5.
First-principles (GGA-PBEsol) data for crystalline SnAuSeN2 at its relaxed geometry, as listed in Alexandria via LeMat-Bulk. Values from VASP.

Results
raw formation energy: 1376 meV per atom
final energy: -4.442 eV per atom
magnetization: 2.660 Bohr magnetons per cell

Structure (Quantum ESPRESSO input):
```
&SYSTEM
  ibrav = 0, nat = 5, ntyp = 4
/
ATOMIC_SPECIES
Au 196.97 Au.upf
Sn 118.71 Sn.upf
Se 78.96 Se.upf
N 14.01 N.upf
ATOMIC_POSITIONS crystal
Au 0.0000 0.0000 0.0000
Sn 0.5000 0.5000 0.5000
Se 0.0000 0.0000 0.5000
N 0.0000 0.5000 0.0000
N 0.5000 0.0000 0.0000
CELL_PARAMETERS angstrom
4.1084 0.0000 0.0000
0.0000 4.1084 0.0000
0.0000 0.0000 5.3007
```

6.
First-principles (GGA-PBEsol) data for crystalline PbS2F at its relaxed geometry, as listed in Alexandria via LeMat-Bulk. Values from VASP.

Results
raw formation energy: -715 meV per atom
final energy: -4.389 eV per atom
magnetization: 0.001 Bohr magnetons per cell

Structure (Quantum ESPRESSO input):
```
&SYSTEM
  ibrav = 0, nat = 8, ntyp = 3
/
ATOMIC_SPECIES
Pb 207.20 Pb.upf
S 32.06 S.upf
F 19.00 F.upf
ATOMIC_POSITIONS crystal
Pb 0.7500 0.5000 0.5000
Pb 0.0000 0.0000 0.0000
S 0.0866 0.0384 0.5384
S 0.6634 0.9616 0.4616
S 0.3750 0.5384 0.9616
S 0.8750 0.4616 0.0384
F 0.2500 0.5000 0.5000
F 0.5000 0.0000 0.0000
CELL_PARAMETERS angstrom
-1.6659 -1.8054 3.7269
1.6022 -6.4622 0.2589
4.4579 0.5317 4.9233
```